VASP calculation (PBE+U) on a relaxed LiFeF3 crystal.

```
LiFeF3
1.0
-1.8705 5.5736 -3.8165
-3.3401 -4.2921 -4.6503
-5.7202 -0.4303 5.4799
F Fe Li
18 6 6
direct
0.8516 0.7618 0.4175
0.0968 0.4653 0.2464
0.9032 0.5347 0.7536
0.7343 0.2986 0.9260
0.5236 0.4593 0.2402
0.9034 0.9922 0.8255
0.6360 0.2156 0.5757
0.3640 0.7844 0.4243
0.8198 0.1673 0.2761
0.7736 0.7530 0.0821
0.4764 0.5407 0.7598
0.1484 0.2382 0.5825
0.1802 0.8327 0.7239
0.0966 0.0078 0.1745
0.4927 0.0043 0.1709
0.2657 0.7014 0.0740
0.2264 0.2470 0.9179
0.5073 0.9957 0.8291
0.9270 0.2557 0.7304
0.4367 0.2620 0.7375
0.7601 0.0429 0.0364
0.2399 0.9571 0.9636
0.5633 0.7380 0.2625
0.0730 0.7443 0.2696
0.7307 0.5562 0.9064
0.0729 0.2408 0.3423
0.4046 0.7662 0.6622
0.9271 0.7592 0.6577
0.5954 0.2338 0.3378
0.2693 0.4438 0.0936
```

## Properties
- calculated total energy (eV per atom) = -5.22
- density of states at the Fermi level (states/eV/cell) = 0.000
- magnetization (μB per atom) = 0.80
- space-group type = No. 2